[1]
Below is Pr3Si2S8Cl after structural relaxation, with properties calculated at the PBEsol level.

Structure (CIF):
```
data_Pr3Si2S8Cl
_chemical_formula_sum 'Pr6 Si4 S16 Cl2'
_space_group_name_H-M_alt 'P 1'
_space_group_IT_number 1
_space_group_name_Hall 'P 1'
_cell_length_a 7.657
_cell_length_b 8.603
_cell_length_c 10.880
_cell_angle_alpha 96.36
_cell_angle_beta 90.00
_cell_angle_gamma 116.43
loop_
_atom_site_label
_atom_site_type_symbol
_atom_site_fract_x
_atom_site_fract_y
_atom_site_fract_z
Pr1 Pr 0.619 0.000 0.750
S1 S 0.279 0.874 0.949
S2 S 0.444 0.705 0.162
S3 S 0.289 0.426 0.415
Pr2 Pr 0.927 0.612 0.814
S4 S 0.721 0.126 0.051
S5 S 0.137 0.426 0.915
S6 S 0.603 0.704 0.856
Pr3 Pr 0.315 0.388 0.686
S7 S 0.711 0.574 0.585
Cl1 Cl 0.004 0.000 0.250
S8 S 0.406 0.126 0.551
S9 S 0.101 0.704 0.356
Cl2 Cl 0.996 0.000 0.750
S10 S 0.863 0.574 0.085
S11 S 0.397 0.296 0.144
Pr4 Pr 0.381 0.000 0.250
S12 S 0.556 0.295 0.838
S13 S 0.899 0.296 0.644
S14 S 0.739 0.295 0.338
Si1 Si 0.629 0.321 0.030
Si2 Si 0.308 0.679 0.470
S15 S 0.594 0.874 0.449
Pr5 Pr 0.073 0.388 0.186
Pr6 Pr 0.685 0.612 0.314
Si3 Si 0.371 0.679 0.970
S16 S 0.261 0.705 0.662
Si4 Si 0.692 0.321 0.530
```

Properties
E_form (uncorrected), eV/atom: -1.559

[2]
Below is Sc3TlMo after structural relaxation, with properties calculated at the PBEsol level.

Structure (CIF):
```
data_Sc3TlMo
_chemical_formula_sum 'Sc3 Tl1 Mo1'
_space_group_name_H-M_alt 'P 1'
_space_group_IT_number 1
_space_group_name_Hall 'P 1'
_cell_length_a 5.224
_cell_length_b 5.224
_cell_length_c 5.224
_cell_angle_alpha 90.00
_cell_angle_beta 90.00
_cell_angle_gamma 90.00
loop_
_atom_site_label
_atom_site_type_symbol
_atom_site_fract_x
_atom_site_fract_y
_atom_site_fract_z
Mo1 Mo 0.500 0.500 0.500
Sc1 Sc 0.000 0.000 0.500
Tl1 Tl 0.000 0.000 0.000
Sc2 Sc 0.500 0.000 0.000
Sc3 Sc 0.000 0.500 0.000
```

Properties
ΔE_f, eV/atom: 1.242